First-principles (PBE-GGA) data for a relaxed structure of KSiCl2, as listed in the Alexandria database.

Total magnetization = 1.92 Bohr magnetons per cell
Energy relative to the elements, uncorrected = -2.229 eV per formula unit
Offset from the most stable computed form = 0.286 eV/atom
Electronic total energy = -24.89 eV per cell

Unit cell a=3.825 b=4.028 c=14.242 alpha=90.00 beta=90.00 gamma=90.00
Space group Imm2 (No. 44)
Symmetry-distinct sites (fractional):
K1 0.000 0.000 0.000 (multiplicity 2)
Si1 0.000 0.500 0.759 (multiplicity 2)
Cl1 0.000 0.000 0.588 (multiplicity 2)
Cl2 0.000 0.500 0.308 (multiplicity 2)

---

First-principles (PBE-GGA) data for a relaxed structure of KSiCl, as listed in the Alexandria database.

Total magnetization = 0.00 Bohr magnetons per cell
Energy relative to the elements, uncorrected = 0.038 eV per formula unit
Offset from the most stable computed form = 0.991 eV/atom
Electronic total energy = -8.33 eV per cell

Unit cell a=5.2110 b=5.2110 c=3.3488 alpha=90.00 beta=90.00 gamma=120.00
Space group P-6m2 (No. 187)
Symmetry-distinct sites (fractional):
K1 0.0000 0.0000 0.0000 (multiplicity 1)
Si1 0.6667 0.3333 0.5000 (multiplicity 1)
Cl1 0.3333 0.6667 0.5000 (multiplicity 1)

---

First-principles (PBE-GGA) data for a relaxed structure of K4SiCl, as listed in the Alexandria database.

Total magnetization = 4.98 Bohr magnetons per cell
Energy relative to the elements, uncorrected = 1.069 eV per formula unit
Electronic total energy = -42.36 eV per cell

Unit cell a=10.071 b=10.071 c=10.071 alpha=90.00 beta=90.00 gamma=90.00
Space group F-43m (No. 216)
Symmetry-distinct sites (fractional):
K1 0.125 0.125 0.125 (multiplicity 16)
Si1 0.250 0.250 0.750 (multiplicity 4)
Cl1 0.000 0.000 0.500 (multiplicity 4)

---

First-principles (PBE-GGA) data for a relaxed structure of KSiCl, as listed in the Alexandria database.

Total magnetization = 0.00 Bohr magnetons per cell
Energy relative to the elements, uncorrected = -0.889 eV per formula unit
Offset from the most stable computed form = 0.682 eV/atom
Electronic total energy = -9.26 eV per cell

Unit cell a=3.716 b=3.716 c=6.133 alpha=90.00 beta=90.00 gamma=90.00
Space group P4mm (No. 99)
Symmetry-distinct sites (fractional):
K1 0.000 0.000 0.000 (multiplicity 1)
Si1 0.500 0.500 0.643 (multiplicity 1)
Cl1 0.500 0.500 0.279 (multiplicity 1)

---

First-principles (PBE-GGA) data for a relaxed structure of KSiCl, as listed in the Alexandria database.

Total magnetization = 0.00 Bohr magnetons per cell
Energy relative to the elements, uncorrected = -2.918 eV per formula unit
Offset from the most stable computed form = 0.006 eV/atom
Electronic total energy = -22.57 eV per cell

Unit cell a=4.0061 b=4.0061 c=11.8035 alpha=90.00 beta=90.00 gamma=120.00
Space group P3m1 (No. 156)
Symmetry-distinct sites (fractional):
K1 0.0000 0.0000 0.0000 (multiplicity 1)
K2 0.0000 0.0000 0.3478 (multiplicity 1)
Si1 0.3333 0.6667 0.7760 (multiplicity 1)
Si2 0.6667 0.3333 0.7158 (multiplicity 1)
Cl1 0.6667 0.3333 0.1742 (multiplicity 1)
Cl2 0.6667 0.3333 0.5164 (multiplicity 1)

---

First-principles (PBE-GGA) data for a relaxed structure of KSiCl, as listed in the Alexandria database.

Total magnetization = 0.00 Bohr magnetons per cell
Energy relative to the elements, uncorrected = -0.635 eV per formula unit
Offset from the most stable computed form = 0.767 eV/atom
Electronic total energy = -18.00 eV per cell

Unit cell a=3.258 b=5.391 c=10.286 alpha=90.00 beta=90.00 gamma=90.00
Space group Imm2 (No. 44)
Symmetry-distinct sites (fractional):
K1 0.000 0.000 0.000 (multiplicity 2)
Si1 0.000 0.000 0.338 (multiplicity 2)
Cl1 0.000 0.000 0.556 (multiplicity 2)

---

First-principles (PBE-GGA) data for a relaxed structure of KSiCl, as listed in the Alexandria database.

Total magnetization = 8.03 Bohr magnetons per cell
Energy relative to the elements, uncorrected = 0.527 eV per formula unit
Offset from the most stable computed form = 1.154 eV/atom
Electronic total energy = -31.36 eV per cell

Unit cell a=7.453 b=7.453 c=7.453 alpha=90.00 beta=90.00 gamma=90.00
Space group F-43m (No. 216)
Symmetry-distinct sites (fractional):
K1 0.000 0.000 0.000 (multiplicity 4)
Si1 0.000 0.000 0.500 (multiplicity 4)
Cl1 0.250 0.250 0.750 (multiplicity 4)

---

First-principles (PBE-GGA) data for a relaxed structure of KSiCl2, as listed in the Alexandria database.

Total magnetization = 0.00 Bohr magnetons per cell
Energy relative to the elements, uncorrected = -2.743 eV per formula unit
Offset from the most stable computed form = 0.158 eV/atom
Electronic total energy = -38.87 eV per cell

Unit cell a=3.9632 b=3.9632 c=26.6872 alpha=90.00 beta=90.00 gamma=120.00
Space group R-3m (No. 166, hexagonal axes)
Symmetry-distinct sites (fractional):
K1 0.0000 0.0000 0.0000 (multiplicity 3)
Si1 0.0000 0.0000 0.5000 (multiplicity 3)
Cl1 0.0000 0.0000 0.4087 (multiplicity 6)